(1)
A plane-wave DFT calculation with PBE was carried out for crystalline Sm2Er12Sc5 at its relaxed geometry.

Unit cell a=8.636 b=9.072 c=8.258 alpha=91.14 beta=90.00 gamma=118.42
Fractional coordinates of all 19 atoms:
Er  0.402  0.220  0.612
Er  0.166  0.332  0.870
Er  0.984  0.377  0.223
Er  0.834  0.668  0.130
Sc  0.353  0.705  0.058
Sc  0.755  0.509  0.452
Er  0.598  0.780  0.388
Sm  0.213  0.000  0.000
Er  0.394  0.377  0.223
Er  0.555  0.109  0.279
Sm  0.787  0.000  0.000
Er  0.016  0.623  0.777
Sc  0.000  0.000  0.500
Er  0.818  0.220  0.612
Sc  0.245  0.491  0.548
Er  0.182  0.780  0.388
Er  0.445  0.891  0.721
Er  0.606  0.623  0.777
Sc  0.647  0.295  0.942

Calculated values
D(E_F) (states/eV per atom): 1.635
Total moment (μB/atom): 0.00
DFT formation energy (eV per atom): 0.146

=====

(2)
A plane-wave DFT calculation with PBE was carried out for crystalline SmErSc4 at its relaxed geometry.

Unit cell a=6.280 b=6.280 c=6.280 alpha=60.00 beta=60.00 gamma=60.00
Each line ends with the local moment (μB).
Fractional coordinates of all 6 atoms:
Sm  0.250  0.250  0.250  0.50
Er  0.000  0.000  0.000  0.68
Sc  0.625  0.625  0.125  0.56
Sc  0.625  0.625  0.625  0.56
Sc  0.625  0.125  0.625  0.56
Sc  0.125  0.625  0.625  0.56

Calculated values
D(E_F) (states/eV per atom): 2.174
Total moment (μB/atom): 1.05
Excess energy over the best structure of this formula in the dataset (eV/f.u.): 0.990
DFT formation energy (eV per atom): 0.230

=====

(3)
A plane-wave DFT calculation with PBE was carried out for crystalline SmEr5Sc3 at its relaxed geometry.

Unit cell a=9.132 b=9.132 c=11.143 alpha=53.18 beta=53.18 gamma=74.60
Fractional coordinates of all 18 atoms:
Er  0.258  0.742  0.000
Sm  0.847  0.847  0.407
Sc  0.345  0.345  0.634
Sc  0.655  0.655  0.366
Er  0.742  0.258  0.000
Sc  0.000  0.000  0.500
Er  0.508  0.508  0.770
Er  0.140  0.644  0.744
Sc  0.000  0.000  0.000
Er  0.356  0.860  0.256
Sm  0.153  0.153  0.593
Sc  0.694  0.694  0.817
Er  0.644  0.140  0.744
Er  0.816  0.816  0.965
Er  0.184  0.184  0.035
Sc  0.306  0.306  0.183
Er  0.492  0.492  0.230
Er  0.860  0.356  0.256

Calculated values
D(E_F) (states/eV per atom): 1.444
Total moment (μB/atom): 0.00
DFT formation energy (eV per atom): 0.473

=====

(4)
A plane-wave DFT calculation with PBE was carried out for crystalline Sm10Er4Sc at its relaxed geometry.

Unit cell a=7.636 b=8.938 c=8.938 alpha=79.48 beta=64.71 gamma=64.71
Fractional coordinates of all 15 atoms:
Er  0.766  0.468  0.000
Er  0.234  0.000  0.532
Sm  0.281  0.211  0.789
Sm  0.070  0.211  0.211
Sm  0.250  0.500  0.500
Sm  0.719  0.211  0.789
Sm  0.281  0.789  0.211
Sc  0.000  0.000  0.000
Sm  0.930  0.789  0.789
Sm  0.750  0.500  0.500
Sm  0.507  0.211  0.211
Sm  0.719  0.789  0.211
Er  0.766  0.000  0.468
Sm  0.493  0.789  0.789
Er  0.234  0.532  0.000

Calculated values
D(E_F) (states/eV per atom): 1.108
Total moment (μB/atom): 0.00
DFT formation energy (eV per atom): 0.211

=====

(5)
A plane-wave DFT calculation with PBE was carried out for crystalline SmEr12Sc2 at its relaxed geometry.

Unit cell a=6.594 b=6.594 c=24.724 alpha=101.18 beta=78.82 gamma=65.31
Fractional coordinates of all 30 atoms:
Er  0.559  0.941  0.153
Er  0.775  0.725  0.580
Er  0.994  0.006  0.805
Er  0.085  0.915  0.931
Er  0.802  0.197  0.558
Er  0.585  0.415  0.931
Er  0.494  0.506  0.805
Sc  0.857  0.643  0.715
Sm  0.000  0.500  0.000
Sc  0.643  0.857  0.285
Er  0.725  0.775  0.420
Er  0.225  0.275  0.420
Er  0.698  0.303  0.442
Sm  0.500  0.000  0.000
Er  0.599  0.401  0.321
Er  0.006  0.994  0.195
Er  0.915  0.085  0.069
Er  0.197  0.802  0.442
Er  0.059  0.441  0.153
Er  0.401  0.599  0.679
Er  0.303  0.698  0.558
Sc  0.357  0.143  0.714
Sc  0.143  0.357  0.286
Er  0.415  0.585  0.069
Er  0.941  0.559  0.847
Er  0.099  0.901  0.321
Er  0.441  0.059  0.847
Er  0.506  0.494  0.195
Er  0.275  0.225  0.580
Er  0.901  0.099  0.679

Calculated values
D(E_F) (states/eV per atom): 1.698
Total moment (μB/atom): 0.00
DFT formation energy (eV per atom): 0.090

=====

(6)
A plane-wave DFT calculation with PBE was carried out for crystalline SmEr2Sc5 at its relaxed geometry.

Unit cell a=6.693 b=6.693 c=6.693 alpha=91.73 beta=119.00 gamma=119.00
Fractional coordinates of all 8 atoms:
Sc  0.000  0.278  0.278
Sm  0.000  0.778  0.778
Er  0.500  0.278  0.778
Sc  0.000  0.778  0.278
Sc  0.500  0.778  0.778
Er  0.500  0.778  0.278
Sc  0.000  0.278  0.778
Sc  0.500  0.278  0.278

Calculated values
D(E_F) (states/eV per atom): 1.821
Total moment (μB/atom): 0.00
DFT formation energy (eV per atom): 0.059

=====

(7)
A plane-wave DFT calculation with PBE was carried out for crystalline SmEr8Sc6 at its relaxed geometry.

Unit cell a=9.296 b=9.296 c=7.872 alpha=53.81 beta=53.81 gamma=60.00
Fractional coordinates of all 15 atoms:
Sc  0.390  0.940  0.960
Er  0.636  0.772  0.523
Er  0.590  0.590  0.231
Er  0.410  0.410  0.769
Sc  0.610  0.060  0.040
Sc  0.060  0.290  0.040
Er  0.772  0.069  0.523
Sc  0.290  0.610  0.040
Sc  0.940  0.710  0.960
Sm  0.000  0.000  0.000
Er  0.069  0.636  0.523
Er  0.364  0.228  0.477
Sc  0.710  0.390  0.960
Er  0.931  0.364  0.477
Er  0.228  0.931  0.477

Calculated values
D(E_F) (states/eV per atom): 1.540
Total moment (μB/atom): 0.00
DFT formation energy (eV per atom): 0.191

=====

(8)
A plane-wave DFT calculation with PBE was carried out for crystalline SmEr3Sc at its relaxed geometry.

Unit cell a=3.495 b=3.495 c=14.249 alpha=82.96 beta=82.96 gamma=60.00
Fractional coordinates of all 5 atoms:
Sc  0.634  0.634  0.097
Sm  0.834  0.834  0.497
Er  0.237  0.237  0.288
Er  0.432  0.432  0.703
Er  0.031  0.031  0.906

Calculated values
D(E_F) (states/eV per atom): 1.453
Total moment (μB/atom): 0.00
Excess energy over the best structure of this formula in the dataset (eV/f.u.): 0.102
DFT formation energy (eV per atom): 0.042

=====

(9)
A plane-wave DFT calculation with PBE was carried out for crystalline Sm4Er5Sc at its relaxed geometry.

Unit cell a=5.760 b=8.046 c=8.046 alpha=82.64 beta=69.03 gamma=69.03
Fractional coordinates of all 10 atoms:
Sm  0.448  0.322  0.678
Er  0.677  0.000  0.000
Sm  0.770  0.678  0.678
Sc  0.203  0.000  0.000
Er  0.146  0.000  0.627
Er  0.773  0.000  0.373
Er  0.773  0.373  0.000
Sm  0.448  0.678  0.322
Er  0.146  0.627  0.000
Sm  0.126  0.322  0.322

Calculated values
D(E_F) (states/eV per atom): 1.343
Total moment (μB/atom): 0.00
Excess energy over the best structure of this formula in the dataset (eV/f.u.): 1.937
DFT formation energy (eV per atom): 0.225

=====

(10)
A plane-wave DFT calculation with PBE was carried out for crystalline Sm3Er2Sc8 at its relaxed geometry.

Unit cell a=6.771 b=8.694 c=8.917 alpha=119.18 beta=120.14 gamma=90.00
Fractional coordinates of all 13 atoms:
Sm  0.500  0.000  0.000
Sc  0.879  0.565  0.130
Sc  0.409  0.191  0.752
Er  0.551  0.239  0.478
Sc  0.009  0.804  0.608
Sc  0.409  0.561  0.752
Sc  0.991  0.196  0.392
Sm  0.000  0.185  0.000
Sc  0.591  0.439  0.248
Sm  0.000  0.815  0.000
Sc  0.121  0.435  0.870
Er  0.449  0.761  0.522
Sc  0.591  0.809  0.248

Calculated values
D(E_F) (states/eV per atom): 1.464
Total moment (μB/atom): 0.00
DFT formation energy (eV per atom): 0.259

=====

(11)
A plane-wave DFT calculation with PBE was carried out for crystalline Sm3Er2Sc at its relaxed geometry.

Unit cell a=6.290 b=8.056 c=8.056 alpha=70.07 beta=90.00 gamma=90.00
Fractional coordinates of all 12 atoms:
Er  0.580  0.749  0.369
Sc  0.834  0.919  0.919
Sm  0.362  0.838  0.838
Sm  0.552  0.488  0.124
Er  0.580  0.369  0.749
Er  0.080  0.631  0.251
Sc  0.334  0.081  0.081
Sm  0.052  0.876  0.512
Sm  0.052  0.512  0.876
Sm  0.552  0.124  0.488
Er  0.080  0.251  0.631
Sm  0.862  0.162  0.162

Calculated values
D(E_F) (states/eV per atom): 1.417
Total moment (μB/atom): 0.00
Excess energy over the best structure of this formula in the dataset (eV/f.u.): 1.251
DFT formation energy (eV per atom): 0.247

=====

(12)
A plane-wave DFT calculation with PBE was carried out for crystalline Sm2Er8Sc3 at its relaxed geometry.

Unit cell a=6.528 b=8.655 c=8.469 alpha=120.73 beta=96.89 gamma=90.00
Fractional coordinates of all 13 atoms:
Er  0.424  0.426  0.217
Er  0.115  0.413  0.826
Er  0.424  0.791  0.217
Sm  0.278  0.204  0.408
Sm  0.722  0.796  0.592
Sc  0.000  0.165  0.000
Er  0.576  0.574  0.783
Sc  0.500  0.000  0.000
Er  0.885  0.587  0.174
Sc  0.000  0.835  0.000
Er  0.217  0.807  0.614
Er  0.576  0.209  0.783
Er  0.783  0.193  0.386

Calculated values
D(E_F) (states/eV per atom): 1.470
Total moment (μB/atom): 0.00
DFT formation energy (eV per atom): 0.260

=====

Among the records above, which one has the lowest DFT formation energy?
SmEr3Sc

=====

Which of these has the highest total moment?
SmErSc4

=====

Which value of total moment does entry 5 give?
0.00 μB/atom